# La5Sm5Er2 | Alexandria via LeMat-Bulk | PBE | relaxed
data_La5Sm5Er2
_chemical_formula_sum 'La5 Sm5 Er2'
_cell_length_a 8.2213
_cell_length_b 8.2213
_cell_length_c 11.5008
_cell_angle_alpha 115.33
_cell_angle_beta 115.33
_cell_angle_gamma 36.77
_symmetry_space_group_name_H-M 'P 1'
_symmetry_Int_Tables_number 1
_symmetry_space_group_name_Hall 'P 1'
loop_
_atom_site_label
_atom_site_fract_x
_atom_site_fract_y
_atom_site_fract_z
La1 0.0000 0.0000 0.0000
La2 0.0812 0.0812 0.7462
La3 0.2492 0.2492 0.2540
La4 0.7508 0.7508 0.7460
La5 0.9188 0.9188 0.2538
Sm1 0.3327 0.3327 0.0004
Sm2 0.4145 0.4145 0.7449
Sm3 0.5000 0.5000 0.5000
Sm4 0.5855 0.5855 0.2551
Sm5 0.6673 0.6673 0.9996
Er1 0.1678 0.1678 0.4997
Er2 0.8322 0.8322 0.5003
# - N(E_F): 20.346 states/eV/f.u.
# - Size of the total moment: 0.00 μB/cell
# - ΔE_f: 24 meV/atom